# 1
A relaxed Pa2TiNb crystal. Source: the Alexandria database, functional PBE-GGA.

The structure belongs to space group P4/mmm (No. 123); the cell edges are 3.550, 3.550 and 7.004 Å and the angles 90.00°, 90.00° and 90.00°. The asymmetric unit holds Pa at (0.000, 0.000, 0.248), Ti at (0.500, 0.500, 0.500) and Nb at (0.500, 0.500, 0.000).

As for the energy above the most stable polymorph in this dataset: 0.0010 eV per atom. The formation energy comes out at 0.282 eV per atom.

---

# 2
A relaxed CaMg2Re crystal. Source: the Alexandria database, functional PBE-GGA.

The structure belongs to space group Pmmm (No. 47); the cell edges are 2.919, 4.322 and 6.485 Å and the angles 90.00°, 90.00° and 90.00°. The asymmetric unit holds Ca at (0.000, 0.000, 0.000), Mg at (0.500, 0.500, 0.294) and Re at (0.000, 0.000, 0.500).

As for the energy above the most stable polymorph in this dataset: 0.0000 eV per atom. The formation energy comes out at 0.409 eV per atom.

---

# 3
A relaxed CsFeC3 crystal. Source: the Alexandria database, functional PBE-GGA.

The structure belongs to space group Pm-3m (No. 221); the cell edges are 4.448, 4.448 and 4.448 Å and the angles 90.00°, 90.00° and 90.00°. The asymmetric unit holds Cs at (0.000, 0.000, 0.000), Fe at (0.500, 0.500, 0.500) and C at (0.000, 0.000, 0.500).

As for the energy above the most stable polymorph in this dataset: 2.5434 eV per atom. The formation energy comes out at 4.749 eV per atom.

---

# 4
A relaxed CaAc2Ge3Au12 crystal. Source: the Alexandria database, functional PBE-GGA.

The structure belongs to space group R-3m (No. 166, hexagonal axes); the cell edges are 9.3540, 9.3540 and 18.0974 Å and the angles 90.00°, 90.00° and 120.00°. The asymmetric unit holds Ca at (0.0000, 0.0000, 0.0000), Ac at (0.0000, 0.0000, 0.3942), Ge at (0.0000, 0.5000, 0.5000), Au at (0.0152, 0.5076, 0.3585) and Au at (0.0170, 0.5085, 0.8192).

The formation energy comes out at -0.195 eV per atom.

---

# 5
A relaxed ScBeNi crystal. Source: the Alexandria database, functional PBE-GGA.

The structure belongs to space group Imma (No. 74); the cell edges are 4.735, 4.973 and 6.725 Å and the angles 90.00°, 90.00° and 90.00°. The asymmetric unit holds Sc at (0.000, 0.250, 0.124), Be at (0.250, 0.250, 0.750) and Ni at (0.000, 0.000, 0.500).

As for the energy above the most stable polymorph in this dataset: 0.0000 eV per atom. The formation energy comes out at -0.371 eV per atom.

---

# 6
A relaxed TaIr3 crystal. Source: the Alexandria database, functional PBE-GGA.

The structure belongs to space group Pmmm (No. 47); the cell edges are 2.801, 3.899 and 5.600 Å and the angles 90.00°, 90.00° and 90.00°. The asymmetric unit holds Ta at (0.000, 0.000, 0.000), Ir at (0.000, 0.000, 0.500) and Ir at (0.500, 0.500, 0.259).

The formation energy comes out at -0.398 eV per atom.

---

# 7
A relaxed LaNd5Tm4 crystal. Source: the Alexandria database, functional PBE-GGA.

The structure belongs to space group P-1 (No. 2); the cell edges are 3.624, 9.527 and 10.197 Å and the angles 73.74°, 90.00° and 79.10°. The asymmetric unit holds La at (0.000, 0.000, 0.000), Nd at (0.000, 0.000, 0.500), Nd at (0.200, 0.600, 0.600), Nd at (0.397, 0.205, 0.196), Tm at (0.200, 0.600, 0.100) and Tm at (0.398, 0.204, 0.701).

The formation energy comes out at 0.019 eV per atom.

---

# 8
A relaxed SrCa3Rh crystal. Source: the Alexandria database, functional PBE-GGA.

The structure belongs to space group P1 (No. 1); the cell edges are 6.838, 7.778 and 7.915 Å and the angles 64.69°, 78.80° and 70.08°. The asymmetric unit holds Sr at (0.000, 0.000, 0.000), Sr at (0.043, 0.489, 0.578), Ca at (0.074, 0.021, 0.481), Ca at (0.487, 0.482, 0.802), Ca at (0.521, 0.744, 0.289), Ca at (0.522, 0.244, 0.290), Ca at (0.556, 0.006, 0.777), Ca at (0.970, 0.468, 0.098), Rh at (0.312, 0.153, 0.067) and Rh at (0.732, 0.334, 0.512).

As for the energy above the most stable polymorph in this dataset: 0.0000 eV per atom. The formation energy comes out at -0.227 eV per atom.

---

# 9
A relaxed Y5TmMg6 crystal. Source: the Alexandria database, functional PBE-GGA.

The structure belongs to space group Cmmm (No. 65); the cell edges are 5.382, 16.144 and 7.549 Å and the angles 90.00°, 90.00° and 90.00°. The asymmetric unit holds Y at (0.000, 0.000, 0.000), Y at (0.000, 0.333, 0.000), Y at (0.000, 0.334, 0.500), Tm at (0.000, 0.000, 0.500), Mg at (0.000, 0.166, 0.251) and Mg at (0.000, 0.500, 0.251).

The formation energy comes out at -0.101 eV per atom.

---

# 10
A relaxed LiCeHo2 crystal. Source: the Alexandria database, functional PBE-GGA.

The structure belongs to space group R-3m (No. 166, hexagonal axes); the cell edges are 3.4080, 3.4080 and 35.6384 Å and the angles 90.00°, 90.00° and 120.00°. The asymmetric unit holds Li at (0.0000, 0.0000, 0.0000), Ce at (0.0000, 0.0000, 0.5000) and Ho at (0.0000, 0.0000, 0.0893).

As for the energy above the most stable polymorph in this dataset: 0.0865 eV per atom. The formation energy comes out at 0.195 eV per atom.

---

# 11
A relaxed Ca2AcMg crystal. Source: the Alexandria database, functional PBE-GGA.

The structure belongs to space group P4/nmm (No. 129, origin choice 2); the cell edges are 5.780, 5.780 and 9.156 Å and the angles 90.00°, 90.00° and 90.00°. The asymmetric unit holds Ca at (0.250, 0.250, 0.212), Ca at (0.250, 0.750, 0.500), Ac at (0.250, 0.250, 0.790) and Mg at (0.250, 0.750, 0.000).

As for the energy above the most stable polymorph in this dataset: 0.0112 eV per atom. The formation energy comes out at -0.010 eV per atom.

---

# 12
A relaxed Na2CeTe3 crystal. Source: the Alexandria database, functional PBE-GGA.

The structure belongs to space group C2/c (No. 15); the cell edges are 7.949, 13.532 and 7.802 Å and the angles 90.00°, 110.43° and 90.00°. The asymmetric unit holds Na at (0.000, 0.083, 0.250), Na at (0.000, 0.246, 0.750), Ce at (0.000, 0.411, 0.250), Te at (0.228, 0.425, 0.003) and Te at (0.250, 0.250, 0.500).

The raw total energy comes out at -24.59 eV per formula unit.